[1]
Tb4GaSbS9 | Alexandria via LeMat-Bulk | PBE | relaxed; ΔE_f (raw) = -1.549 eV/atom; density of states at the Fermi level = 0.0000 states/eV/atom; total magnetic moment = 0.00 μB per cell; theoretical density = 5.509 g/cm³; crystal system = orthorhombic
1.0
13.580 0.000 0.000
0.000 6.954 7.123
0.000 -6.954 7.123
Tb Ga Sb S
16 4 4 36
Direct
0.100 0.173 0.827
0.105 0.655 0.437
0.186 0.446 0.115
0.188 0.898 0.117
0.312 0.398 0.617
0.314 0.946 0.615
0.395 0.155 0.937
0.400 0.673 0.327
0.600 0.327 0.673
0.605 0.937 0.155
0.686 0.615 0.946
0.688 0.617 0.398
0.812 0.117 0.898
0.814 0.115 0.446
0.895 0.437 0.655
0.900 0.827 0.173
0.091 0.166 0.377
0.409 0.666 0.877
0.591 0.877 0.666
0.909 0.377 0.166
0.113 0.652 0.817
0.387 0.152 0.317
0.613 0.317 0.152
0.887 0.817 0.652
0.000 0.364 0.364
0.000 0.994 0.994
0.014 0.375 0.985
0.070 0.679 0.169
0.082 0.835 0.648
0.099 0.469 0.652
0.189 0.167 0.566
0.198 0.169 0.197
0.244 0.845 0.380
0.246 0.986 0.870
0.254 0.486 0.370
0.256 0.345 0.880
0.302 0.669 0.697
0.311 0.667 0.066
0.401 0.969 0.152
0.418 0.335 0.148
0.430 0.179 0.669
0.486 0.875 0.485
0.500 0.494 0.494
0.500 0.864 0.864
0.514 0.485 0.875
0.570 0.669 0.179
0.582 0.148 0.335
0.599 0.152 0.969
0.689 0.066 0.667
0.698 0.697 0.669
0.744 0.880 0.345
0.746 0.370 0.486
0.754 0.870 0.986
0.756 0.380 0.845
0.802 0.197 0.169
0.811 0.566 0.167
0.901 0.652 0.469
0.918 0.648 0.835
0.930 0.169 0.679
0.986 0.985 0.375

[2]
Ga2SbTeS | Alexandria via LeMat-Bulk | PBE | relaxed; ΔE_f (raw) = 0.326 eV/atom; density of states at the Fermi level = 0.6172 states/eV/atom; total magnetic moment = 0.00 μB per cell; theoretical density = 4.779 g/cm³; crystal system = tetragonal
1.0
5.461 0.000 0.000
0.000 5.461 0.000
0.000 0.000 4.903
Ga Sb Te S
2 1 1 1
Direct
0.000 0.500 0.000
0.500 0.000 0.000
0.000 0.000 0.000
0.500 0.500 0.500
0.000 0.000 0.500

[3]
GaSbTe2S | Alexandria via LeMat-Bulk | PBE | relaxed; ΔE_f (raw) = 0.740 eV/atom; density of states at the Fermi level = 1.2215 states/eV/atom; total magnetic moment = 0.00 μB per cell; theoretical density = 5.317 g/cm³; polymorph energy (0 for the lowest one) = 31.6 kJ/mol of atoms; crystal system = tetragonal
1.0
5.264 0.000 0.000
0.000 5.264 0.000
0.000 0.000 5.396
Ga Sb Te S
1 1 2 1
Direct
0.000 0.000 0.000
0.000 0.000 0.500
0.000 0.500 0.000
0.500 0.000 0.000
0.500 0.500 0.500

[4]
GaSbTe2S | Alexandria via LeMat-Bulk | PBE | relaxed; ΔE_f (raw) = 0.413 eV/atom; density of states at the Fermi level = 0.8787 states/eV/atom; total magnetic moment = 0.28 μB per cell; theoretical density = 5.308 g/cm³; polymorph energy (0 for the lowest one) = 0.0 kJ/mol of atoms; crystal system = tetragonal
1.0
5.340 0.000 0.000
0.000 5.340 0.000
0.000 0.000 5.253
Ga Sb Te S
1 1 2 1
Direct
0.000 0.000 0.000
0.500 0.500 0.000
0.000 0.500 0.500
0.500 0.000 0.500
0.500 0.500 0.500